[1]
TlZnCl | Alexandria | PBE-GGA | relaxed; formation energy without anion corrections = -0.32 eV per atom; VASP energy = -2.15 eV/atom
1.0
-1.5658 1.2764 4.7945
1.7084 -2.7071 4.1014
3.3482 2.1711 3.3383
Cl Tl Zn
1 1 1
direct
0.5000 0.5000 0.5000
0.2500 0.2500 0.2500
0.0000 0.0000 0.0000

[2]
Zn2FeB2 | Alexandria | PBE-GGA | relaxed; VASP energy = -4.56 eV/atom; formation enthalpy at 0 K = 1.589 eV/f.u.
1.0
5.4744 0.0000 0.0000
0.0000 5.4744 0.0000
0.0000 0.0000 3.4219
B Fe Zn
4 2 4
direct
0.8920 0.6080 0.0000
0.6080 0.1080 0.0000
0.3920 0.8920 0.0000
0.1080 0.3920 0.0000
0.5000 0.5000 0.0000
0.0000 0.0000 0.0000
0.1980 0.6980 0.5000
0.8020 0.3020 0.5000
0.6980 0.8020 0.5000
0.3020 0.1980 0.5000

[3]
NbSn6OF15 | Alexandria | PBE-GGA | relaxed; formation energy without anion corrections = -2.44 eV per atom; VASP energy = -5.36 eV/atom
1.0
-1.1759 10.4839 0.1545
-8.1506 6.6807 -0.5042
-0.7405 -0.5816 11.1986
F Nb Sn O
30 2 12 2
direct
0.7375 0.1225 0.8178
0.2738 0.2943 0.1672
0.7273 0.7183 0.8446
0.6066 0.8736 0.1022
0.5205 0.8171 0.5517
0.0163 0.2813 0.2419
0.1225 0.7375 0.3178
0.3970 0.1206 0.9147
0.5712 0.2949 0.6001
0.1193 0.1545 0.9793
0.8171 0.5205 0.0517
0.7240 0.9855 0.2613
0.7183 0.7273 0.3446
0.2943 0.2738 0.6672
0.1545 0.1193 0.4793
0.9855 0.7240 0.7613
0.2813 0.0163 0.7419
0.8736 0.6066 0.6022
0.1967 0.4729 0.9393
0.1206 0.3970 0.4147
0.8344 0.8870 0.5278
0.4883 0.4139 0.3031
0.4139 0.4883 0.8031
0.2949 0.5712 0.1001
0.1837 0.8938 0.1668
0.8870 0.8344 0.0278
0.5782 0.5458 0.6616
0.5458 0.5782 0.1616
0.4729 0.1967 0.4393
0.8938 0.1837 0.6668
0.3382 0.6683 0.2568
0.6683 0.3382 0.7568
0.1064 0.7355 0.9214
0.8910 0.2697 0.0815
0.2527 0.4464 0.5440
0.7355 0.1064 0.4214
0.7157 0.8733 0.6921
0.2697 0.8910 0.5815
0.2795 0.1392 0.3200
0.7606 0.5545 0.4686
0.5545 0.7606 0.9686
0.8733 0.7157 0.1921
0.4464 0.2527 0.0440
0.1392 0.2795 0.8200
0.3852 0.7330 0.3864
0.7330 0.3852 0.8864

Please write out number 3 again, unchanged.
NbSn6OF15 | Alexandria | PBE-GGA | relaxed; formation energy without anion corrections = -2.44 eV per atom; VASP energy = -5.36 eV/atom
1.0
-1.1759 10.4839 0.1545
-8.1506 6.6807 -0.5042
-0.7405 -0.5816 11.1986
F Nb Sn O
30 2 12 2
direct
0.7375 0.1225 0.8178
0.2738 0.2943 0.1672
0.7273 0.7183 0.8446
0.6066 0.8736 0.1022
0.5205 0.8171 0.5517
0.0163 0.2813 0.2419
0.1225 0.7375 0.3178
0.3970 0.1206 0.9147
0.5712 0.2949 0.6001
0.1193 0.1545 0.9793
0.8171 0.5205 0.0517
0.7240 0.9855 0.2613
0.7183 0.7273 0.3446
0.2943 0.2738 0.6672
0.1545 0.1193 0.4793
0.9855 0.7240 0.7613
0.2813 0.0163 0.7419
0.8736 0.6066 0.6022
0.1967 0.4729 0.9393
0.1206 0.3970 0.4147
0.8344 0.8870 0.5278
0.4883 0.4139 0.3031
0.4139 0.4883 0.8031
0.2949 0.5712 0.1001
0.1837 0.8938 0.1668
0.8870 0.8344 0.0278
0.5782 0.5458 0.6616
0.5458 0.5782 0.1616
0.4729 0.1967 0.4393
0.8938 0.1837 0.6668
0.3382 0.6683 0.2568
0.6683 0.3382 0.7568
0.1064 0.7355 0.9214
0.8910 0.2697 0.0815
0.2527 0.4464 0.5440
0.7355 0.1064 0.4214
0.7157 0.8733 0.6921
0.2697 0.8910 0.5815
0.2795 0.1392 0.3200
0.7606 0.5545 0.4686
0.5545 0.7606 0.9686
0.8733 0.7157 0.1921
0.4464 0.2527 0.0440
0.1392 0.2795 0.8200
0.3852 0.7330 0.3864
0.7330 0.3852 0.8864